[1]
Material: KSrCl
Method: DFT, PBE-GGA
State: optimized geometry

Cell: 4.3027 4.3027 7.8238 Å, 90.00 90.00 120.00°
Closest atoms and distances in Å follow each position.
Element x y z (fractional)
K 0.0000 0.0000 0.0000  3 Cl 3.31
Sr 0.6667 0.3333 0.4643  3 Cl 3.19
Cl 0.3333 0.6667 0.7200  3 Sr 3.19, 3 K 3.31

Raw formation energy   -1130 meV/atom
Calculated density   2.15 g cm⁻³
ΔE to the lowest computed polymorph   0 kJ/mol of formula units


[2]
Material: KSrCl
Method: DFT, PBE-GGA
State: optimized geometry

Cell: 5.0364 5.0364 11.4680 Å, 90.00 90.00 90.00°
Closest atoms and distances in Å follow each position.
Element x y z (fractional)
K 0.2500 0.2500 0.1010  4 K 4.25, 4 Sr 4.60
K 0.7500 0.7500 0.8990  4 K 4.25, 4 Sr 4.60
Sr 0.2500 0.2500 0.6453  4 Cl 3.02
Sr 0.7500 0.7500 0.3547  4 Cl 3.02
Cl 0.2500 0.7500 0.5000  4 Sr 3.02
Cl 0.7500 0.2500 0.5000  4 Sr 3.02

Raw formation energy   -1116 meV/atom
Calculated density   1.85 g cm⁻³
ΔE to the lowest computed polymorph   4 kJ/mol of formula units


[3]
Material: KSr3Cl
Method: DFT, PBE-GGA
State: optimized geometry

Cell: 7.3335 7.3335 7.3335 Å, 90.00 90.00 90.00°
Closest atoms and distances in Å follow each position.
Element x y z (fractional)
K 0.0000 0.0000 0.0000  6 Sr 3.67
Sr 0.0000 0.0000 0.5000  2 K 3.67
Sr 0.0000 0.5000 0.0000  2 K 3.67
Sr 0.5000 0.0000 0.0000  2 K 3.67
Cl 0.5000 0.5000 0.5000  12 Sr 5.19

Raw formation energy   341 meV/atom
Calculated density   1.42 g cm⁻³
ΔE to the lowest computed polymorph   407 kJ/mol of formula units


[4]
Material: K2Sr3Cl8
Method: DFT, PBE-GGA
State: optimized geometry

Cell: 8.8622 8.8622 7.4649 Å, 107.12 107.12 59.70°
Closest atoms and distances in Å follow each position.
Element x y z (fractional)
K 0.2240 0.2240 0.1459  6 Cl 3.16-3.46
K 0.7760 0.7760 0.8541  6 Cl 3.16-3.46
Sr 0.2415 0.7585 0.5000  6 Cl 2.88-2.98
Sr 0.5000 0.5000 0.0000  6 Cl 2.90-2.94
Sr 0.7585 0.2415 0.5000  6 Cl 2.88-2.98
Cl 0.1084 0.1084 0.4247  2 Sr 2.88, 1 K 3.16
Cl 0.1639 0.6086 0.1037  2 Sr 2.90, 1 K 3.19
Cl 0.3914 0.8361 0.8963  2 Sr 2.90, 1 K 3.19
Cl 0.3963 0.3963 0.5881  3 Sr 2.94-2.98
Cl 0.6037 0.6037 0.4119  3 Sr 2.94-2.98
Cl 0.6086 0.1639 0.1037  2 Sr 2.90, 1 K 3.19
Cl 0.8361 0.3914 0.8963  2 Sr 2.90, 1 K 3.19
Cl 0.8916 0.8916 0.5753  2 Sr 2.88, 1 K 3.16

Raw formation energy   -2314 meV/atom
Calculated density   2.18 g cm⁻³